A:
A plane-wave DFT calculation with GGA-PBE was carried out for a relaxed KCa3Rh crystal.

Its density of states at the Fermi level is 14.88 states/eV/cell. The volume comes out at 738 Å³ per cell.

The space group is P2_1/c (No. 14) and the conventional cell measures 10.009, 7.542 and 11.455 Å, with angles of 90.00, 121.38 and 90.00 degrees. The inequivalent atoms are K at (0.050, 0.238, 0.018), Ca at (0.230, 0.520, 0.345), Ca at (0.300, 0.001, 0.407), Ca at (0.470, 0.664, 0.699) and Rh at (0.487, 0.192, 0.041).

=====

B:
A plane-wave DFT calculation with GGA-PBE was carried out for a relaxed KCa3Rh crystal.

Its density of states at the Fermi level is 6.31 states/eV/cell. The volume comes out at 631 Å³ per cell.

The space group is Amm2 (No. 38) and the conventional cell measures 4.016, 7.623 and 20.620 Å, with angles of 90.00, 90.00 and 90.00 degrees. The inequivalent atoms are K at (0.000, 0.000, 0.000), Ca at (0.000, 0.244, 0.678), Ca at (0.500, 0.000, 0.814) and Rh at (0.500, 0.000, 0.689).

=====

It comes down to A, which is 323 meV per atom more stable than the next structure.

=====

A:
A plane-wave DFT calculation with GGA-PBE was carried out for a relaxed KCa3Rh crystal.

Its density of states at the Fermi level is 24.99 states/eV/cell. The volume comes out at 1466 Å³ per cell.

The space group is C2/c (No. 15) and the conventional cell measures 19.864, 10.197 and 7.297 Å, with angles of 90.00, 97.28 and 90.00 degrees. The inequivalent atoms are K at (0.000, 0.108, 0.250), K at (0.000, 0.262, 0.750), Ca at (0.114, 0.443, 0.430), Ca at (0.174, 0.244, 0.059), Ca at (0.206, 0.110, 0.573) and Rh at (0.209, 0.389, 0.741).

=====

B:
A plane-wave DFT calculation with GGA-PBE was carried out for a relaxed KCa3Rh crystal.

Its density of states at the Fermi level is 10.75 states/eV/cell. The volume comes out at 562 Å³ per cell.

The space group is R3m (No. 160, hexagonal axes) and the conventional cell measures 7.6319, 7.6319 and 11.1461 Å, with angles of 90.00, 90.00 and 120.00 degrees. The inequivalent atoms are K at (0.0000, 0.0000, 0.0000), Ca at (0.0192, 0.5096, 0.0780) and Rh at (0.0000, 0.0000, 0.2624).

=====

It comes down to A, which is 290 meV per atom more stable than the next structure.

=====

A:
A plane-wave DFT calculation with GGA-PBE was carried out for a relaxed K3CaRh crystal.

Its density of states at the Fermi level is 0.73 states/eV/cell. The volume comes out at 237 Å³ per cell.

The space group is Pm-3m (No. 221) and the conventional cell measures 6.189, 6.189 and 6.189 Å, with angles of 90.00, 90.00 and 90.00 degrees. The inequivalent atoms are K at (0.000, 0.000, 0.500), Ca at (0.500, 0.500, 0.500) and Rh at (0.000, 0.000, 0.000).

=====

B:
A plane-wave DFT calculation with GGA-PBE was carried out for a relaxed K3CaRh crystal.

Its density of states at the Fermi level is 9.18 states/eV/cell. The volume comes out at 344 Å³ per cell.

The space group is Pm-3m (No. 221) and the conventional cell measures 7.004, 7.004 and 7.004 Å, with angles of 90.00, 90.00 and 90.00 degrees. The inequivalent atoms are K at (0.000, 0.000, 0.500), Ca at (0.000, 0.000, 0.000) and Rh at (0.500, 0.500, 0.500).

=====

It comes down to A, which is 730 meV per atom more stable than the next structure.

=====

A:
A plane-wave DFT calculation with GGA-PBE was carried out for a relaxed KCa2Ru crystal.

Its density of states at the Fermi level is 7.13 states/eV/cell. The volume comes out at 291 Å³ per cell.

The space group is C2/m (No. 12) and the conventional cell measures 8.043, 3.560 and 10.198 Å, with angles of 90.00, 95.42 and 90.00 degrees. The inequivalent atoms are K at (0.000, 0.000, 0.000), Ca at (0.220, 0.000, 0.648) and Ru at (0.000, 0.500, 0.500).

=====

B:
A plane-wave DFT calculation with GGA-PBE was carried out for a relaxed KCa2Ru crystal.

Its density of states at the Fermi level is 23.62 states/eV/cell. The volume comes out at 452 Å³ per cell.

The space group is F-43m (No. 216) and the conventional cell measures 7.674, 7.674 and 7.674 Å, with angles of 90.00, 90.00 and 90.00 degrees. The inequivalent atoms are K at (0.000, 0.000, 0.000), Ca at (0.000, 0.000, 0.500), Ca at (0.250, 0.250, 0.750) and Ru at (0.250, 0.250, 0.250).

=====

It comes down to A, which is 382 meV per atom more stable than the next structure.

=====

A:
A plane-wave DFT calculation with GGA-PBE was carried out for a relaxed K2CaSb2 crystal.

Its density of states at the Fermi level is 0.00 states/eV/cell. The volume comes out at 377 Å³ per cell.

The space group is P4/mbm (No. 127) and the conventional cell measures 8.165, 8.165 and 5.653 Å, with angles of 90.00, 90.00 and 90.00 degrees. The inequivalent atoms are K at (0.162, 0.338, 0.000), Ca at (0.000, 0.000, 0.500) and Sb at (0.128, 0.628, 0.500).

=====

B:
A plane-wave DFT calculation with GGA-PBE was carried out for a relaxed K2CaSb2 crystal.

Its density of states at the Fermi level is 4.46 states/eV/cell. The volume comes out at 358 Å³ per cell.

The space group is I4/mmm (No. 139) and the conventional cell measures 4.787, 4.787 and 15.612 Å, with angles of 90.00, 90.00 and 90.00 degrees. The inequivalent atoms are K at (0.000, 0.500, 0.250), Ca at (0.000, 0.000, 0.000) and Sb at (0.000, 0.000, 0.409).

=====

It comes down to A, which is 210 meV per atom more stable than the next structure.

=====

A:
A plane-wave DFT calculation with GGA-PBE was carried out for a relaxed KCa2Sb2 crystal.

Its density of states at the Fermi level is 1.45 states/eV/cell. The volume comes out at 317 Å³ per cell.

The space group is P4/mbm (No. 127) and the conventional cell measures 9.292, 9.292 and 3.673 Å, with angles of 90.00, 90.00 and 90.00 degrees. The inequivalent atoms are K at (0.000, 0.000, 0.000), Ca at (0.131, 0.369, 0.000) and Sb at (0.166, 0.666, 0.500).

=====

B:
A plane-wave DFT calculation with GGA-PBE was carried out for a relaxed KCa2Sb2 crystal.

Its density of states at the Fermi level is 6.54 states/eV/cell. The volume comes out at 422 Å³ per cell.

The space group is I4/mmm (No. 139) and the conventional cell measures 5.972, 5.972 and 11.832 Å, with angles of 90.00, 90.00 and 90.00 degrees. The inequivalent atoms are K at (0.000, 0.000, 0.000), Ca at (0.000, 0.000, 0.313) and Sb at (0.000, 0.500, 0.250).

=====

It comes down to A, which is 274 meV per atom more stable than the next structure.

=====

A:
A plane-wave DFT calculation with GGA-PBE was carried out for a relaxed KCaSb3 crystal.

Its density of states at the Fermi level is 2.14 states/eV/cell. The volume comes out at 199 Å³ per cell.

The space group is Pm-3m (No. 221) and the conventional cell measures 5.835, 5.835 and 5.835 Å, with angles of 90.00, 90.00 and 90.00 degrees. The inequivalent atoms are K at (0.000, 0.000, 0.000), Ca at (0.500, 0.500, 0.500) and Sb at (0.000, 0.500, 0.500).

=====

B:
A plane-wave DFT calculation with GGA-PBE was carried out for a relaxed KCaSb3 crystal.

Its density of states at the Fermi level is 2.09 states/eV/cell. The volume comes out at 193 Å³ per cell.

The space group is Pm-3m (No. 221) and the conventional cell measures 5.776, 5.776 and 5.776 Å, with angles of 90.00, 90.00 and 90.00 degrees. The inequivalent atoms are K at (0.000, 0.000, 0.000), Ca at (0.500, 0.500, 0.500) and Sb at (0.000, 0.000, 0.500).

=====

It comes down to A, which is 571 meV per atom more stable than the next structure.

=====

A:
A plane-wave DFT calculation with GGA-PBE was carried out for a relaxed KCaSb2Te crystal.

Its density of states at the Fermi level is 5.43 states/eV/cell. The volume comes out at 198 Å³ per cell.

The space group is P4/mmm (No. 123) and the conventional cell measures 5.773, 5.773 and 5.927 Å, with angles of 90.00, 90.00 and 90.00 degrees. The inequivalent atoms are K at (0.000, 0.000, 0.000), Ca at (0.500, 0.500, 0.500), Sb at (0.000, 0.500, 0.000) and Te at (0.000, 0.000, 0.500).

=====

B:
A plane-wave DFT calculation with GGA-PBE was carried out for a relaxed KCaSb2Te crystal.

Its density of states at the Fermi level is 4.78 states/eV/cell. The volume comes out at 204 Å³ per cell.

The space group is P4/mmm (No. 123) and the conventional cell measures 5.867, 5.867 and 5.916 Å, with angles of 90.00, 90.00 and 90.00 degrees. The inequivalent atoms are K at (0.000, 0.000, 0.000), Ca at (0.500, 0.500, 0.500), Sb at (0.000, 0.500, 0.500) and Te at (0.500, 0.500, 0.000).

=====

It comes down to B, which is 598 meV per atom more stable than the next structure.

=====

A:
A plane-wave DFT calculation with GGA-PBE was carried out for a relaxed KCa2Sc crystal.

Its density of states at the Fermi level is 6.21 states/eV/cell. The volume comes out at 159 Å³ per cell.

The space group is Pm (No. 6) and the conventional cell measures 3.613, 6.251 and 7.123 Å, with angles of 90.00, 97.61 and 90.00 degrees. The inequivalent atoms are K at (0.000, 0.000, 0.000), Ca at (0.325, 0.500, 0.749), Ca at (0.501, 0.000, 0.482) and Sc at (0.821, 0.500, 0.300).

=====

B:
A plane-wave DFT calculation with GGA-PBE was carried out for a relaxed KCa2Sc crystal.

Its density of states at the Fermi level is 27.29 states/eV/cell. The volume comes out at 651 Å³ per cell.

The space group is I-42d (No. 122) and the conventional cell measures 9.384, 9.384 and 7.396 Å, with angles of 90.00, 90.00 and 90.00 degrees. The inequivalent atoms are K at (0.000, 0.000, 0.000), Ca at (0.241, 0.250, 0.625) and Sc at (0.000, 0.000, 0.500).

=====

It comes down to A, which is 252 meV per atom more stable than the next structure.

=====

A:
A plane-wave DFT calculation with GGA-PBE was carried out for a relaxed KCa2Sc crystal.

Its density of states at the Fermi level is 12.06 states/eV/cell. The volume comes out at 637 Å³ per cell.

The space group is Fm-3m (No. 225) and the conventional cell measures 8.603, 8.603 and 8.603 Å, with angles of 90.00, 90.00 and 90.00 degrees. The inequivalent atoms are K at (0.000, 0.000, 0.000), Ca at (0.250, 0.250, 0.250) and Sc at (0.000, 0.000, 0.500).

=====

B:
A plane-wave DFT calculation with GGA-PBE was carried out for a relaxed KCa2Sc crystal.

Its density of states at the Fermi level is 12.56 states/eV/cell. The volume comes out at 321 Å³ per cell.

The space group is Cm (No. 8) and the conventional cell measures 12.859, 3.667 and 6.861 Å, with angles of 90.00, 97.78 and 90.00 degrees. The inequivalent atoms are K at (0.000, 0.000, 0.000), Ca at (0.012, 0.500, 0.517), Ca at (0.257, 0.500, 0.263) and Sc at (0.249, 0.000, 0.718).

=====

It comes down to B, which is 44 meV per atom more stable than the next structure.

=====

A:
A plane-wave DFT calculation with GGA-PBE was carried out for a relaxed KCaSc2 crystal.

Its density of states at the Fermi level is 14.55 states/eV/cell. The volume comes out at 267 Å³ per cell.

The space group is Immm (No. 71) and the conventional cell measures 3.618, 5.912 and 12.482 Å, with angles of 90.00, 90.00 and 90.00 degrees. The inequivalent atoms are K at (0.000, 0.000, 0.000), Ca at (0.000, 0.000, 0.500) and Sc at (0.000, 0.500, 0.244).

=====

B:
A plane-wave DFT calculation with GGA-PBE was carried out for a relaxed KCaSc2 crystal.

Its density of states at the Fermi level is 7.46 states/eV/cell. The volume comes out at 137 Å³ per cell.

The space group is P4/mmm (No. 123) and the conventional cell measures 4.906, 4.906 and 5.711 Å, with angles of 90.00, 90.00 and 90.00 degrees. The inequivalent atoms are K at (0.000, 0.000, 0.000), Ca at (0.500, 0.500, 0.000) and Sc at (0.000, 0.500, 0.500).

=====

It comes down to A, which is 78 meV per atom more stable than the next structure.

=====

A:
A plane-wave DFT calculation with GGA-PBE was carried out for a relaxed KCaSc2 crystal.

Its density of states at the Fermi level is 21.61 states/eV/cell. The volume comes out at 406 Å³ per cell.

The space group is R-3m (No. 166, hexagonal axes) and the conventional cell measures 3.4973, 3.4973 and 38.3498 Å, with angles of 90.00, 90.00 and 120.00 degrees. The inequivalent atoms are K at (0.0000, 0.0000, 0.0000), Ca at (0.0000, 0.0000, 0.5000) and Sc at (0.0000, 0.0000, 0.2432).

=====

B:
A plane-wave DFT calculation with GGA-PBE was carried out for a relaxed KCaSc2 crystal.

Its density of states at the Fermi level is 5.51 states/eV/cell. The volume comes out at 143 Å³ per cell.

The space group is Pm (No. 6) and the conventional cell measures 3.610, 3.609 and 11.007 Å, with angles of 90.00, 90.08 and 90.00 degrees. The inequivalent atoms are K at (0.000, 0.000, 0.000), Ca at (0.498, 0.500, 0.325), Sc at (0.500, 0.500, 0.713) and Sc at (0.999, 0.000, 0.546).

=====

C:
A plane-wave DFT calculation with GGA-PBE was carried out for a relaxed KCaSc2 crystal.

Its density of states at the Fermi level is 21.90 states/eV/cell. The volume comes out at 538 Å³ per cell.

The space group is I-42d (No. 122) and the conventional cell measures 9.132, 9.132 and 6.456 Å, with angles of 90.00, 90.00 and 90.00 degrees. The inequivalent atoms are K at (0.000, 0.000, 0.000), Ca at (0.000, 0.000, 0.500) and Sc at (0.244, 0.250, 0.125).

=====

D:
A plane-wave DFT calculation with GGA-PBE was carried out for a relaxed KCaSc2 crystal.

Its density of states at the Fermi level is 19.21 states/eV/cell. The volume comes out at 275 Å³ per cell.

The space group is I-4m2 (No. 119) and the conventional cell measures 5.420, 5.420 and 9.361 Å, with angles of 90.00, 90.00 and 90.00 degrees. The inequivalent atoms are K at (0.000, 0.000, 0.000), Ca at (0.000, 0.500, 0.250), Sc at (0.000, 0.000, 0.500) and Sc at (0.000, 0.500, 0.750).

=====

It comes down to B, which is 188 meV per atom more stable than the next structure.